Here is an optimized crystal structure of Gd2LuIn from Alexandria via LeMat-Bulk. Energies are from PBE-GGA.

Properties
* SG: Fm-3m
* calculated total energy: -9.035 eV/atom

a b c (Å): 5.441 5.441 5.441
angles (deg): 60.00 60.00 60.00
Sites, in units of the cell vectors:
Gd (0.250, 0.250, 0.250)
Gd (0.750, 0.750, 0.750)
Lu (0.000, 0.000, 0.000)
In (0.500, 0.500, 0.500)

=====

Here is an optimized crystal structure of Re2GeHI from Alexandria via LeMat-Bulk. Energies are from PBE-GGA.

Properties
* SG: P4/mmm
* calculated total energy: -4.542 eV/atom

a b c (Å): 4.830 4.830 6.103
angles (deg): 90.00 90.00 90.00
Sites, in units of the cell vectors:
Re (0.000, 0.500, 0.000)
Re (0.500, 0.000, 0.000)
Ge (0.000, 0.000, 0.000)
H (0.500, 0.500, 0.500)
I (0.000, 0.000, 0.500)

=====

Here is an optimized crystal structure of CsNiAu3 from Alexandria via LeMat-Bulk. Energies are from PBE-GGA.

Properties
* SG: Pm-3m
* calculated total energy: -3.087 eV/atom

a b c (Å): 5.056 5.056 5.056
angles (deg): 90.00 90.00 90.00
Sites, in units of the cell vectors:
Cs (0.000, 0.000, 0.000)
Ni (0.500, 0.500, 0.500)
Au (0.000, 0.500, 0.500)
Au (0.500, 0.000, 0.500)
Au (0.500, 0.500, 0.000)

=====

Here is an optimized crystal structure of La2ZrCo from Alexandria via LeMat-Bulk. Energies are from PBE-GGA.

Properties
* SG: Pm
* calculated total energy: -6.371 eV/atom

a b c (Å): 3.392 3.393 8.963
angles (deg): 90.00 91.64 90.00
Sites, in units of the cell vectors:
La (0.000, 0.000, 0.000)
La (0.479, 0.500, 0.645)
Zr (0.527, 0.500, 0.289)
Co (0.024, 0.000, 0.420)

=====

Here is an optimized crystal structure of HfTi2Ge from Alexandria via LeMat-Bulk. Energies are from PBE-GGA.

Properties
* SG: Cmcm
* calculated total energy: -8.101 eV/atom

a b c (Å): 9.797 9.797 3.845
angles (deg): 90.00 90.00 157.37
Sites, in units of the cell vectors:
Hf (0.196, 0.804, 0.750)
Hf (0.804, 0.196, 0.250)
Ti (0.057, 0.943, 0.250)
Ti (0.445, 0.555, 0.250)
Ti (0.555, 0.445, 0.750)
Ti (0.943, 0.057, 0.750)
Ge (0.341, 0.659, 0.750)
Ge (0.659, 0.341, 0.250)

=====

Here is an optimized crystal structure of Ac2HgGe4Pt3 from Alexandria via LeMat-Bulk. Energies are from PBE-GGA.

Properties
* SG: P-4m2
* calculated total energy: -5.307 eV/atom

a b c (Å): 4.538 4.538 10.428
angles (deg): 90.00 90.00 90.00
Sites, in units of the cell vectors:
Ac (0.000, 0.500, 0.246)
Ac (0.500, 0.000, 0.754)
Hg (0.000, 0.000, 0.500)
Ge (0.000, 0.000, 0.000)
Ge (0.000, 0.500, 0.644)
Ge (0.500, 0.000, 0.356)
Ge (0.500, 0.500, 0.000)
Pt (0.000, 0.500, 0.885)
Pt (0.500, 0.000, 0.115)
Pt (0.500, 0.500, 0.500)

=====

Here is an optimized crystal structure of TaSb2HRh from Alexandria via LeMat-Bulk. Energies are from PBE-GGA.

Properties
* SG: P4/mmm
* calculated total energy: -5.026 eV/atom

a b c (Å): 5.357 5.357 4.756
angles (deg): 90.00 90.00 90.00
Sites, in units of the cell vectors:
Ta (0.000, 0.000, 0.000)
Sb (0.000, 0.500, 0.000)
Sb (0.500, 0.000, 0.000)
H (0.500, 0.500, 0.500)
Rh (0.000, 0.000, 0.500)

=====

Here is an optimized crystal structure of SmEr2Mg2 from Alexandria via LeMat-Bulk. Energies are from PBE-GGA.

Properties
* SG: Cmcm
* calculated total energy: -3.470 eV/atom

a b c (Å): 14.039 14.039 5.452
angles (deg): 90.00 90.00 164.76
Sites, in units of the cell vectors:
Sm (0.151, 0.849, 0.750)
Sm (0.849, 0.151, 0.250)
Er (0.044, 0.956, 0.250)
Er (0.238, 0.762, 0.250)
Er (0.762, 0.238, 0.750)
Er (0.956, 0.044, 0.750)
Mg (0.360, 0.640, 0.750)
Mg (0.448, 0.552, 0.250)
Mg (0.552, 0.448, 0.750)
Mg (0.640, 0.360, 0.250)

=====

Here is an optimized crystal structure of Cd3Ge5Br16 from Alexandria via LeMat-Bulk. Energies are from PBE-GGA.

Properties
* SG: Cm
* uncorrected formation energy: -0.66 eV/atom

a b c (Å): 8.263 8.263 13.620
angles (deg): 90.90 90.90 59.58
Sites, in units of the cell vectors:
Cd (0.000, 0.000, 0.000)
Cd (0.171, 0.676, 0.497)
Cd (0.676, 0.171, 0.497)
Ge (0.165, 0.165, 0.240)
Ge (0.499, 0.499, 0.740)
Ge (0.512, 0.995, 0.998)
Ge (0.682, 0.682, 0.497)
Ge (0.995, 0.512, 0.998)
Br (0.003, 0.003, 0.394)
Br (0.158, 0.661, 0.896)
Br (0.160, 0.160, 0.888)
Br (0.311, 0.855, 0.135)
Br (0.320, 0.320, 0.136)
Br (0.335, 0.809, 0.639)
Br (0.348, 0.348, 0.626)
Br (0.496, 0.496, 0.388)
Br (0.515, 0.992, 0.393)
Br (0.661, 0.158, 0.896)
Br (0.673, 0.673, 0.888)
Br (0.809, 0.335, 0.639)
Br (0.835, 0.835, 0.118)
Br (0.838, 0.838, 0.616)
Br (0.855, 0.311, 0.135)
Br (0.992, 0.515, 0.393)

=====

Here is an optimized crystal structure of VCd2CoBr from Alexandria via LeMat-Bulk. Energies are from PBE-GGA.

Properties
* SG: P4/mmm
* uncorrected formation energy: 1.00 eV/atom

a b c (Å): 5.502 5.502 4.725
angles (deg): 90.00 90.00 90.00
Sites, in units of the cell vectors:
V (0.000, 0.000, 0.000)
Cd (0.000, 0.500, 0.000)
Cd (0.500, 0.000, 0.000)
Co (0.500, 0.500, 0.500)
Br (0.000, 0.000, 0.500)

=====

Here is an optimized crystal structure of Ac3Al from Alexandria via LeMat-Bulk. Energies are from PBE-GGA.

Properties
* SG: Pmm2
* calculated total energy: -3.871 eV/atom

a b c (Å): 3.814 3.877 11.051
angles (deg): 90.00 90.00 90.00
Sites, in units of the cell vectors:
Ac (0.000, 0.000, 0.000)
Ac (0.000, 0.500, 0.417)
Ac (0.500, 0.500, 0.732)
Al (0.500, 0.000, 0.244)

=====

Here is an optimized crystal structure of Ce3Sc4Sb4 from Alexandria via LeMat-Bulk. Energies are from PBE-GGA.

Properties
* SG: Immm
* uncorrected formation energy: -0.78 eV/atom

a b c (Å): 9.167 9.167 9.167
angles (deg): 153.21 120.98 65.95
Sites, in units of the cell vectors:
Ce (0.000, 0.000, 0.000)
Ce (0.403, 0.903, 0.500)
Ce (0.597, 0.097, 0.500)
Sc (0.014, 0.322, 0.692)
Sc (0.370, 0.678, 0.692)
Sc (0.630, 0.322, 0.308)
Sc (0.986, 0.678, 0.308)
Sb (0.241, 0.241, 0.000)
Sb (0.278, 0.500, 0.778)
Sb (0.722, 0.500, 0.222)
Sb (0.759, 0.759, 0.000)